(1)
Entry from the Alexandria database: a relaxed Rb3AgBr crystal (PBE).

Output
- Spin magnetization: 0.00 μB per atom
- Space group: P2_1/m
- Energy above the lowest structure with this stoichiometry: 0.000 eV per atom
- Energy relative to the elements, uncorrected: -611 meV/atom
- E_tot: -21.0 eV for the cell shown

a b c (Å): 10.3699 4.7313 10.7605
angles (deg): 90.00 111.81 90.00
Closest atoms and distances in Å follow each position.
Fractional coordinates of all 10 atoms:
Rb (0.0988, 0.2500, 0.2627)  3 Ag 3.53-3.67, 2 Br 3.60
Rb (0.2912, 0.2500, 0.9879)  2 Br 3.75, 1 Rb 4.14, 1 Ag 4.20
Rb (0.3510, 0.7500, 0.6117)  3 Br 3.62-3.66, 3 Ag 3.74-3.97
Rb (0.6490, 0.2500, 0.3883)  3 Br 3.62-3.66, 3 Ag 3.74-3.97
Rb (0.7088, 0.7500, 0.0121)  2 Br 3.75, 1 Rb 4.14, 1 Ag 4.20
Rb (0.9012, 0.7500, 0.7373)  3 Ag 3.53-3.67, 2 Br 3.60
Ag (0.0593, 0.2500, 0.5747)  2 Ag 2.87
Ag (0.9407, 0.7500, 0.4253)  2 Ag 2.87
Br (0.3650, 0.7500, 0.2764)  7 Rb 3.60-3.75
Br (0.6350, 0.2500, 0.7236)  7 Rb 3.60-3.75



(2)
Entry from the Alexandria database: a relaxed NbSbC2 crystal (PBE).

Output
- Spin magnetization: 0.00 μB per atom
- Space group: I-42d
- Energy relative to the elements, uncorrected: 829 meV/atom
- E_tot: -58.6 eV for the cell shown

a b c (Å): 6.1389 6.1389 6.1389
angles (deg): 130.25 130.25 73.01
Closest atoms and distances in Å follow each position.
Fractional coordinates of all 8 atoms:
Nb (0.0000, 0.0000, 0.0000)  4 C 2.10
Nb (0.7500, 0.2500, 0.5000)  4 C 2.10
Sb (0.2500, 0.7500, 0.5000)  4 C 2.32
Sb (0.5000, 0.5000, 0.0000)  4 C 2.32
C (0.0891, 0.6250, 0.9641)  2 Nb 2.10, 2 Sb 2.32
C (0.3750, 0.3391, 0.4641)  2 Nb 2.10, 2 Sb 2.32
C (0.6609, 0.1250, 0.0359)  2 Nb 2.10, 2 Sb 2.32
C (0.8750, 0.9109, 0.5359)  2 Nb 2.10, 2 Sb 2.32



(3)
Entry from the Alexandria database: a relaxed Sm2Tm5Bi4 crystal (PBE).

Output
- Spin magnetization: 0.07 μB per atom
- Space group: C2/m
- DFT formation energy: -0.224 eV per atom
- E_tot: -49.8 eV for the cell shown

a b c (Å): 12.5030 12.5030 8.1787
angles (deg): 92.95 92.95 15.81
Closest atoms and distances in Å follow each position.
Fractional coordinates of all 11 atoms:
Sm (0.0524, 0.0524, 0.1530)  2 Bi 3.23-3.25, 4 Tm 3.37-3.62, 3 Sm 3.44-3.51
Sm (0.9476, 0.9476, 0.8470)  2 Bi 3.23-3.25, 4 Tm 3.37-3.62, 3 Sm 3.44-3.51
Tm (0.1488, 0.1488, 0.4591)  4 Bi 3.19-3.34, 1 Sm 3.37, 2 Tm 3.44
Tm (0.1805, 0.1805, 0.0073)  4 Bi 3.09-3.28, 2 Tm 3.44, 1 Sm 3.44
Tm (0.5000, 0.5000, 0.5000)  4 Bi 3.27, 2 Tm 3.44, 4 Sm 3.62
Tm (0.8195, 0.8195, 0.9927)  4 Bi 3.09-3.28, 2 Tm 3.44, 1 Sm 3.44
Tm (0.8512, 0.8512, 0.5409)  4 Bi 3.19-3.34, 1 Sm 3.37, 2 Tm 3.44
Bi (0.0746, 0.0746, 0.7669)  4 Tm 3.19-3.27, 2 Sm 3.23-3.25, 2 Bi 3.44
Bi (0.2684, 0.2684, 0.2891)  6 Tm 3.09-3.34, 2 Bi 3.44
Bi (0.7316, 0.7316, 0.7109)  6 Tm 3.09-3.34, 2 Bi 3.44
Bi (0.9254, 0.9254, 0.2331)  4 Tm 3.19-3.27, 2 Sm 3.23-3.25, 2 Bi 3.44



(4)
Entry from the Alexandria database: a relaxed Os3SeS crystal (PBE).

Output
- Spin magnetization: 0.00 μB per atom
- Space group: Pm-3m
- Energy above the lowest structure with this stoichiometry: 0.000 eV per atom
- Energy relative to the elements, uncorrected: 1465 meV/atom
- E_tot: -34.0 eV for the cell shown

a b c (Å): 4.3926 4.3926 4.3926
angles (deg): 90.00 90.00 90.00
Closest atoms and distances in Å follow each position.
Fractional coordinates of all 5 atoms:
Os (0.0000, 0.0000, 0.5000)  2 S 2.20
Os (0.0000, 0.5000, 0.0000)  2 S 2.20
Os (0.5000, 0.0000, 0.0000)  2 S 2.20
Se (0.5000, 0.5000, 0.5000)  12 Os 3.11
S (0.0000, 0.0000, 0.0000)  6 Os 2.20



(5)
Entry from the Alexandria database: a relaxed SnHIO2 crystal (PBE).

Output
- Spin magnetization: 0.01 μB per atom
- Space group: P4/mmm
- Energy above the lowest structure with this stoichiometry: 0.000 eV per atom
- E_tot: -19.4 eV for the cell shown

a b c (Å): 3.9054 3.9054 6.5519
angles (deg): 90.00 90.00 90.00
Closest atoms and distances in Å follow each position.
Fractional coordinates of all 5 atoms:
Sn (0.0000, 0.0000, 0.0000)  4 O 1.95
H (0.5000, 0.5000, 0.5000)  4 I 2.76
I (0.0000, 0.0000, 0.5000)  4 H 2.76
O (0.0000, 0.5000, 0.0000)  2 Sn 1.95
O (0.5000, 0.0000, 0.0000)  2 Sn 1.95



(6)
Entry from the Alexandria database: a relaxed AcPrPd2 crystal (PBE).

Output
- Spin magnetization: 0.00 μB per atom
- Space group: Amm2
- Energy above the lowest structure with this stoichiometry: 0.000 eV per atom
- DFT formation energy: -0.792 eV per atom
- E_tot: -22.4 eV for the cell shown

a b c (Å): 4.6935 5.9912 5.9912
angles (deg): 39.53 90.00 90.00
Closest atoms and distances in Å follow each position.
Fractional coordinates of all 4 atoms:
Ac (0.0000, 0.0000, 0.0000)  7 Pd 3.11-3.24
Pr (0.5000, 0.2708, 0.2708)  7 Pd 3.14-3.19
Pd (0.0000, 0.7242, 0.7242)  2 Pd 3.04, 3 Ac 3.11-3.24, 4 Pr 3.14
Pd (0.5000, 0.5526, 0.5526)  2 Pd 3.04, 4 Ac 3.16, 3 Pr 3.18-3.19



(7)
Entry from the Alexandria database: a relaxed Ni2CI crystal (PBE).

Output
- Spin magnetization: 0.00 μB per atom
- Space group: C2/m
- Energy above the lowest structure with this stoichiometry: 0.000 eV per atom
- Energy relative to the elements, uncorrected: 230 meV/atom
- E_tot: -42.8 eV for the cell shown

a b c (Å): 4.0489 4.0489 10.2273
angles (deg): 90.70 90.70 55.66
Closest atoms and distances in Å follow each position.
Fractional coordinates of all 8 atoms:
Ni (0.1662, 0.1662, 0.4545)  3 C 1.94-1.98
Ni (0.3289, 0.3289, 0.7061)  1 C 1.87
Ni (0.6711, 0.6711, 0.2939)  1 C 1.87
Ni (0.8338, 0.8338, 0.5455)  3 C 1.94-1.98
C (0.4137, 0.4137, 0.5336)  1 C 1.42
C (0.5863, 0.5863, 0.4664)  1 C 1.42
I (0.3404, 0.3404, 0.1743)  3 Ni 2.56-2.65
I (0.6596, 0.6596, 0.8257)  3 Ni 2.56-2.65



(8)
Entry from the Alexandria database: a relaxed K4LiNi crystal (PBE).

Output
- Spin magnetization: 0.10 μB per atom
- Space group: F-43m
- DFT formation energy: 0.716 eV per atom
- E_tot: -7.8 eV for the cell shown

a b c (Å): 7.4658 7.4658 7.4658
angles (deg): 60.00 60.00 60.00
Closest atoms and distances in Å follow each position.
Fractional coordinates of all 6 atoms:
K (0.3760, 0.3760, 0.3760)  6 K 3.70-3.76
K (0.3760, 0.3760, 0.8721)  6 K 3.70-3.76
K (0.3760, 0.8721, 0.3760)  6 K 3.70-3.76
K (0.8721, 0.3760, 0.3760)  6 K 3.70-3.76
Li (0.0000, 0.0000, 0.0000)  12 K 4.38, 4 Ni 4.57
Ni (0.7500, 0.7500, 0.7500)  12 K 4.37, 4 Li 4.57